1) Compound: FeCoHRu2
Source: Alexandria
Functional: PBE-GGA
Structure: optimized geometry

Geometry as CIF:
```
data_FeCoHRu2
_cell_length_a 3.818
_cell_length_b 3.818
_cell_length_c 3.621
_cell_angle_alpha 90.00
_cell_angle_beta 90.00
_cell_angle_gamma 90.00
_space_group_name_H-M_alt 'P 4/m m m'
_space_group_IT_number 123
_space_group_name_Hall '-P 4 2'
loop_
_atom_site_label
_atom_site_type_symbol
_atom_site_fract_x
_atom_site_fract_y
_atom_site_fract_z
_atom_site_occupancy
Fe1 Fe 0.000 0.000 0.000 1
Co1 Co 0.500 0.500 0.000 1
H1 H 0.500 0.500 0.500 1
Ru1 Ru 0.000 0.500 0.500 1
```

Magnetization = 2.93 Bohr magnetons per cell
Calculated volume = 10.553 Å³ per atom
N(E_F) = 5.294 states/eV/f.u.

2) Compound: FeCoHRu2
Source: Alexandria
Functional: PBE-GGA
Structure: optimized geometry

Geometry as CIF:
```
data_FeCoHRu2
_cell_length_a 3.794
_cell_length_b 3.794
_cell_length_c 3.673
_cell_angle_alpha 90.00
_cell_angle_beta 90.00
_cell_angle_gamma 90.00
_space_group_name_H-M_alt 'P 4/m m m'
_space_group_IT_number 123
_space_group_name_Hall '-P 4 2'
loop_
_atom_site_label
_atom_site_type_symbol
_atom_site_fract_x
_atom_site_fract_y
_atom_site_fract_z
_atom_site_occupancy
Fe1 Fe 0.000 0.000 0.000 1
Co1 Co 0.500 0.500 0.000 1
H1 H 0.000 0.000 0.500 1
Ru1 Ru 0.000 0.500 0.500 1
```

Magnetization = 3.22 Bohr magnetons per cell
Calculated volume = 10.576 Å³ per atom
N(E_F) = 5.053 states/eV/f.u.

Short version: 2) is the least stable of them.

1) Compound: Sc2FeCoH
Source: Alexandria
Functional: PBE-GGA
Structure: optimized geometry

Geometry as CIF:
```
data_Sc2FeCoH
_cell_length_a 4.432
_cell_length_b 4.432
_cell_length_c 3.228
_cell_angle_alpha 90.00
_cell_angle_beta 90.00
_cell_angle_gamma 90.00
_space_group_name_H-M_alt 'P 4/m m m'
_space_group_IT_number 123
_space_group_name_Hall '-P 4 2'
loop_
_atom_site_label
_atom_site_type_symbol
_atom_site_fract_x
_atom_site_fract_y
_atom_site_fract_z
_atom_site_occupancy
Sc1 Sc 0.000 0.500 0.000 1
Fe1 Fe 0.000 0.000 0.500 1
Co1 Co 0.500 0.500 0.500 1
H1 H 0.500 0.500 0.000 1
```

Magnetization = 0.29 Bohr magnetons per cell
Calculated volume = 12.680 Å³ per atom
N(E_F) = 4.683 states/eV/f.u.

2) Compound: Sc2FeCoH
Source: Alexandria
Functional: PBE-GGA
Structure: optimized geometry

Geometry as CIF:
```
data_Sc2FeCoH
_cell_length_a 4.433
_cell_length_b 4.433
_cell_length_c 3.226
_cell_angle_alpha 90.00
_cell_angle_beta 90.00
_cell_angle_gamma 90.00
_space_group_name_H-M_alt 'P 4/m m m'
_space_group_IT_number 123
_space_group_name_Hall '-P 4 2'
loop_
_atom_site_label
_atom_site_type_symbol
_atom_site_fract_x
_atom_site_fract_y
_atom_site_fract_z
_atom_site_occupancy
Sc1 Sc 0.000 0.500 0.000 1
Fe1 Fe 0.000 0.000 0.500 1
Co1 Co 0.500 0.500 0.500 1
H1 H 0.000 0.000 0.000 1
```

Magnetization = 0.32 Bohr magnetons per cell
Calculated volume = 12.680 Å³ per atom
N(E_F) = 2.202 states/eV/f.u.

Short version: 1) is the least stable of them.

1) Compound: VFe2CoH
Source: Alexandria
Functional: PBE-GGA
Structure: optimized geometry

Geometry as CIF:
```
data_VFe2CoH
_cell_length_a 3.561
_cell_length_b 3.561
_cell_length_c 3.728
_cell_angle_alpha 90.00
_cell_angle_beta 90.00
_cell_angle_gamma 90.00
_space_group_name_H-M_alt 'P 4/m m m'
_space_group_IT_number 123
_space_group_name_Hall '-P 4 2'
loop_
_atom_site_label
_atom_site_type_symbol
_atom_site_fract_x
_atom_site_fract_y
_atom_site_fract_z
_atom_site_occupancy
V1 V 0.000 0.000 0.000 1
Fe1 Fe 0.000 0.500 0.500 1
Co1 Co 0.500 0.500 0.000 1
H1 H 0.000 0.000 0.500 1
```

Magnetization = 2.72 Bohr magnetons per cell
Calculated volume = 9.458 Å³ per atom
N(E_F) = 4.302 states/eV/f.u.

2) Compound: VFe2CoH
Source: Alexandria
Functional: PBE-GGA
Structure: optimized geometry

Geometry as CIF:
```
data_VFe2CoH
_cell_length_a 3.592
_cell_length_b 3.592
_cell_length_c 3.558
_cell_angle_alpha 90.00
_cell_angle_beta 90.00
_cell_angle_gamma 90.00
_space_group_name_H-M_alt 'P 4/m m m'
_space_group_IT_number 123
_space_group_name_Hall '-P 4 2'
loop_
_atom_site_label
_atom_site_type_symbol
_atom_site_fract_x
_atom_site_fract_y
_atom_site_fract_z
_atom_site_occupancy
V1 V 0.000 0.000 0.000 1
Fe1 Fe 0.000 0.500 0.500 1
Co1 Co 0.500 0.500 0.000 1
H1 H 0.500 0.500 0.500 1
```

Magnetization = 1.17 Bohr magnetons per cell
Calculated volume = 9.179 Å³ per atom
N(E_F) = 4.327 states/eV/f.u.

Short version: 1) is the least stable of them.

1) Compound: Fe2CoHW
Source: Alexandria
Functional: PBE-GGA
Structure: optimized geometry

Geometry as CIF:
```
data_Fe2CoHW
_cell_length_a 3.668
_cell_length_b 3.668
_cell_length_c 3.578
_cell_angle_alpha 90.00
_cell_angle_beta 90.00
_cell_angle_gamma 90.00
_space_group_name_H-M_alt 'P 4/m m m'
_space_group_IT_number 123
_space_group_name_Hall '-P 4 2'
loop_
_atom_site_label
_atom_site_type_symbol
_atom_site_fract_x
_atom_site_fract_y
_atom_site_fract_z
_atom_site_occupancy
Fe1 Fe 0.000 0.500 0.000 1
Co1 Co 0.000 0.000 0.500 1
H1 H 0.000 0.000 0.000 1
W1 W 0.500 0.500 0.500 1
```

Magnetization = 0.00 Bohr magnetons per cell
Calculated volume = 9.628 Å³ per atom
N(E_F) = 2.723 states/eV/f.u.

2) Compound: Fe2CoHW
Source: Alexandria
Functional: PBE-GGA
Structure: optimized geometry

Geometry as CIF:
```
data_Fe2CoHW
_cell_length_a 3.593
_cell_length_b 3.593
_cell_length_c 3.806
_cell_angle_alpha 90.00
_cell_angle_beta 90.00
_cell_angle_gamma 90.00
_space_group_name_H-M_alt 'P 4/m m m'
_space_group_IT_number 123
_space_group_name_Hall '-P 4 2'
loop_
_atom_site_label
_atom_site_type_symbol
_atom_site_fract_x
_atom_site_fract_y
_atom_site_fract_z
_atom_site_occupancy
Fe1 Fe 0.000 0.500 0.000 1
Co1 Co 0.000 0.000 0.500 1
H1 H 0.500 0.500 0.000 1
W1 W 0.500 0.500 0.500 1
```

Magnetization = 0.50 Bohr magnetons per cell
Calculated volume = 9.827 Å³ per atom
N(E_F) = 3.975 states/eV/f.u.

Short version: 2) is the least stable of them.

1) Compound: Zn2FeCoH
Source: Alexandria
Functional: PBE-GGA
Structure: optimized geometry

Geometry as CIF:
```
data_Zn2FeCoH
_cell_length_a 4.021
_cell_length_b 4.021
_cell_length_c 3.247
_cell_angle_alpha 90.00
_cell_angle_beta 90.00
_cell_angle_gamma 90.00
_space_group_name_H-M_alt 'P 4/m m m'
_space_group_IT_number 123
_space_group_name_Hall '-P 4 2'
loop_
_atom_site_label
_atom_site_type_symbol
_atom_site_fract_x
_atom_site_fract_y
_atom_site_fract_z
_atom_site_occupancy
Zn1 Zn 0.000 0.500 0.000 1
Fe1 Fe 0.000 0.000 0.500 1
Co1 Co 0.500 0.500 0.500 1
H1 H 0.500 0.500 0.000 1
```

Magnetization = 2.46 Bohr magnetons per cell
Calculated volume = 10.499 Å³ per atom
N(E_F) = 4.001 states/eV/f.u.

2) Compound: Zn2FeCoH
Source: Alexandria
Functional: PBE-GGA
Structure: optimized geometry

Geometry as CIF:
```
data_Zn2FeCoH
_cell_length_a 3.952
_cell_length_b 3.952
_cell_length_c 3.338
_cell_angle_alpha 90.00
_cell_angle_beta 90.00
_cell_angle_gamma 90.00
_space_group_name_H-M_alt 'P 4/m m m'
_space_group_IT_number 123
_space_group_name_Hall '-P 4 2'
loop_
_atom_site_label
_atom_site_type_symbol
_atom_site_fract_x
_atom_site_fract_y
_atom_site_fract_z
_atom_site_occupancy
Zn1 Zn 0.000 0.500 0.000 1
Fe1 Fe 0.000 0.000 0.500 1
Co1 Co 0.500 0.500 0.500 1
H1 H 0.000 0.000 0.000 1
```

Magnetization = 2.67 Bohr magnetons per cell
Calculated volume = 10.427 Å³ per atom
N(E_F) = 5.326 states/eV/f.u.

Short version: 2) is the least stable of them.

1) Compound: HfFe2Co2
Source: Alexandria
Functional: PBE-GGA
Structure: optimized geometry

Geometry as CIF:
```
data_HfFe2Co2
_cell_length_a 3.743
_cell_length_b 3.743
_cell_length_c 9.746
_cell_angle_alpha 90.00
_cell_angle_beta 90.00
_cell_angle_gamma 90.00
_space_group_name_H-M_alt 'I 4/m m m'
_space_group_IT_number 139
_space_group_name_Hall '-I 4 2'
loop_
_atom_site_label
_atom_site_type_symbol
_atom_site_fract_x
_atom_site_fract_y
_atom_site_fract_z
_atom_site_occupancy
Hf1 Hf 0.000 0.000 0.000 1
Fe1 Fe 0.000 0.000 0.385 1
Co1 Co 0.000 0.500 0.250 1
```

Magnetization = 12.08 Bohr magnetons per cell
Calculated volume = 13.652 Å³ per atom
N(E_F) = 4.633 states/eV/f.u.

2) Compound: HfFe2Co2
Source: Alexandria
Functional: PBE-GGA
Structure: optimized geometry

Geometry as CIF:
```
data_HfFe2Co2
_cell_length_a 6.923
_cell_length_b 6.923
_cell_length_c 2.736
_cell_angle_alpha 90.00
_cell_angle_beta 90.00
_cell_angle_gamma 90.00
_space_group_name_H-M_alt 'P 4/m b m'
_space_group_IT_number 127
_space_group_name_Hall '-P 4 2ab'
loop_
_atom_site_label
_atom_site_type_symbol
_atom_site_fract_x
_atom_site_fract_y
_atom_site_fract_z
_atom_site_occupancy
Hf1 Hf 0.000 0.000 0.000 1
Fe1 Fe 0.144 0.356 0.000 1
Co1 Co 0.150 0.650 0.500 1
```

Magnetization = 13.73 Bohr magnetons per cell
Calculated volume = 13.114 Å³ per atom
N(E_F) = 2.246 states/eV/f.u.

3) Compound: HfFe2Co2
Source: Alexandria
Functional: PBE-GGA
Structure: optimized geometry

Geometry as CIF:
```
data_HfFe2Co2
_cell_length_a 3.735
_cell_length_b 3.735
_cell_length_c 19.793
_cell_angle_alpha 90.00
_cell_angle_beta 90.00
_cell_angle_gamma 90.00
_space_group_name_H-M_alt 'I 4/m m m'
_space_group_IT_number 139
_space_group_name_Hall '-I 4 2'
loop_
_atom_site_label
_atom_site_type_symbol
_atom_site_fract_x
_atom_site_fract_y
_atom_site_fract_z
_atom_site_occupancy
Hf1 Hf 0.000 0.000 0.122 1
Fe1 Fe 0.000 0.000 0.431 1
Fe2 Fe 0.000 0.500 0.250 1
Co1 Co 0.000 0.000 0.319 1
Co2 Co 0.000 0.500 0.000 1
```

Magnetization = 26.83 Bohr magnetons per cell
Calculated volume = 13.803 Å³ per atom
N(E_F) = 3.545 states/eV/f.u.

Short version: 2) is the least stable of them.